A relaxed structure of Ba3SrAg, computed with PBE.

Space-group type: Pm-3m, No. 221
Energy relative to the elements (meV/atom): 764
Polymorph energy (0 for the lowest one) (meV/atom): 871

Cell: 7.0519 7.0519 7.0519 Å, 90.00 90.00 90.00°
Each line ends with the local moment (μB).
Atoms (fractional coordinates):
Ba  0.0000  0.5000  0.0000  0.26
Ba  0.0000  0.0000  0.5000  0.33
Ba  0.5000  0.0000  0.0000  0.20
Sr  0.0000  0.0000  0.0000  0.34
Ag  0.5000  0.5000  0.5000  -0.01

A relaxed structure of BaSrAg, computed with PBE.

Space-group type: F-43m, No. 216
Energy relative to the elements (meV/atom): 361
Polymorph energy (0 for the lowest one) (meV/atom): 556

Cell: 5.6522 5.6522 5.6522 Å, 60.00 60.00 60.00°
Atoms (fractional coordinates):
Ag  0.0000  0.0000  0.0000
Ba  0.5000  0.5000  0.5000
Sr  0.7500  0.7500  0.7500

The lowest polymorph energy (0 for the lowest one) belongs to which entry? BaSrAg

Which of these has the highest energy relative to the elements? Ba3SrAg

Which of these has the highest polymorph energy (0 for the lowest one)? Ba3SrAg

energy relative to the elements of number 1 (Ba3SrAg)? 764 meV/atom